# 1
Density functional theory data (GGA-PBE) for a relaxed structure of TiGaO3.

Output
E (eV/f.u.): -35.244
Volume (Å³ per cell): 58.3

Cell: 3.8781 3.8781 3.8781 Å, 90.00 90.00 90.00°
With the nearest neighbours (Å) after each atom.
Positions (direct):
Ti 0.0000 0.0000 0.0000  6 O 1.94
Ga 0.5000 0.5000 0.5000  12 O 2.74
O 0.0000 0.0000 0.5000  2 Ti 1.94
O 0.0000 0.5000 0.0000  2 Ti 1.94
O 0.5000 0.0000 0.0000  2 Ti 1.94

=====

# 2
Density functional theory data (GGA-PBE) for a relaxed structure of Ti6GaO.

Output
E (eV/f.u.): -61.496
Volume (Å³ per cell): 122.2

Cell: 4.7107 5.2858 5.4664 Å, 80.27 65.67 87.66°
With the nearest neighbours (Å) after each atom.
Positions (direct):
Ti 0.0592 0.2912 0.3497  1 O 2.16
Ti 0.1961 0.8265 0.0481  1 O 2.09
Ti 0.4272 0.3918 0.7557  1 O 2.03
Ti 0.5728 0.6082 0.2443  1 O 2.03
Ti 0.8039 0.1735 0.9519  1 O 2.09
Ti 0.9408 0.7088 0.6503  1 O 2.16
Ga 0.5000 0.0000 0.5000  8 Ti 2.62-2.85
O 0.0000 0.5000 0.0000  6 Ti 2.03-2.16

=====

# 3
Density functional theory data (GGA-PBE) for a relaxed structure of Ti4Ga2O.

Output
E (eV/f.u.): -49.901
Energy above the lowest structure with this stoichiometry (meV per atom): 0
Volume (Å³ per cell): 399.6

Cell: 8.2674 8.2674 8.2674 Å, 60.00 60.00 60.00°
With the nearest neighbours (Å) after each atom.
Positions (direct):
Ti 0.0000 0.0000 0.0000  6 Ga 2.61
Ti 0.0000 0.0000 0.5000  6 Ga 2.61
Ti 0.0000 0.5000 0.0000  6 Ga 2.61
Ti 0.1838 0.1838 0.5662  2 O 2.21
Ti 0.1838 0.5662 0.1838  2 O 2.21
Ti 0.1838 0.5662 0.5662  2 O 2.21
Ti 0.4338 0.4338 0.8162  2 O 2.21
Ti 0.4338 0.8162 0.4338  2 O 2.21
Ti 0.4338 0.8162 0.8162  2 O 2.21
Ti 0.5000 0.0000 0.0000  6 Ga 2.61
Ti 0.5662 0.1838 0.1838  2 O 2.21
Ti 0.5662 0.1838 0.5662  2 O 2.21
Ti 0.5662 0.5662 0.1838  2 O 2.21
Ti 0.8162 0.4338 0.4338  2 O 2.21
Ti 0.8162 0.4338 0.8162  2 O 2.21
Ti 0.8162 0.8162 0.4338  2 O 2.21
Ga 0.1556 0.7815 0.7815  6 Ti 2.61-2.62
Ga 0.2185 0.2185 0.2185  6 Ti 2.61-2.62
Ga 0.2185 0.2185 0.8444  6 Ti 2.61-2.62
Ga 0.2185 0.8444 0.2185  6 Ti 2.61-2.62
Ga 0.7815 0.1556 0.7815  6 Ti 2.61-2.62
Ga 0.7815 0.7815 0.1556  6 Ti 2.61-2.62
Ga 0.7815 0.7815 0.7815  6 Ti 2.61-2.62
Ga 0.8444 0.2185 0.2185  6 Ti 2.61-2.62
O 0.0000 0.5000 0.5000  6 Ti 2.21
O 0.5000 0.0000 0.5000  6 Ti 2.21
O 0.5000 0.5000 0.0000  6 Ti 2.21
O 0.5000 0.5000 0.5000  6 Ti 2.21

=====

# 4
Density functional theory data (GGA-PBE) for a relaxed structure of TiGaO2.

Output
E (eV/f.u.): -28.423
Volume (Å³ per cell): 137.2

Cell: 6.0490 6.0490 6.0490 Å, 126.87 126.87 78.46°
With the nearest neighbours (Å) after each atom.
Positions (direct):
Ti 0.0000 0.0000 0.0000  4 O 1.86
Ti 0.7500 0.2500 0.5000  4 O 1.86
Ga 0.2500 0.7500 0.5000  4 O 2.84
Ga 0.5000 0.5000 0.0000  4 O 2.84
O 0.3750 0.2173 0.3423  2 Ti 1.86
O 0.7827 0.1250 0.1577  2 Ti 1.86
O 0.8750 0.0327 0.6577  2 Ti 1.86
O 0.9673 0.6250 0.8423  2 Ti 1.86

=====

# 5
Density functional theory data (GGA-PBE) for a relaxed structure of TiGaO3.

Output
E (eV/f.u.): -37.100
Volume (Å³ per cell): 111.1

Cell: 7.2067 7.2067 5.1244 Å, 90.00 90.00 155.32°
With the nearest neighbours (Å) after each atom.
Positions (direct):
Ti 0.1810 0.8190 0.5000  4 O 1.94-2.12
Ti 0.8190 0.1810 0.0000  4 O 1.94-2.12
Ga 0.4495 0.5505 0.4945  4 O 1.85-2.00
Ga 0.5505 0.4495 0.9945  4 O 1.85-2.00
O 0.0840 0.9160 0.8154  2 Ga 1.85
O 0.2536 0.7464 0.1784  3 Ti 1.94-2.01
O 0.4180 0.5820 0.8543  2 Ga 1.90-2.00
O 0.5820 0.4180 0.3543  2 Ga 1.90-2.00
O 0.7464 0.2536 0.6784  3 Ti 1.94-2.01
O 0.9160 0.0840 0.3154  2 Ga 1.85

=====

# 6
Density functional theory data (GGA-PBE) for a relaxed structure of Ti4GaO2.

Output
E (eV/f.u.): -55.735
Volume (Å³ per cell): 176.5

Cell: 5.3583 5.3583 10.5370 Å, 90.00 90.00 144.31°
With the nearest neighbours (Å) after each atom.
Positions (direct):
Ti 0.0000 0.0000 0.0000  4 O 2.20
Ti 0.0000 0.0000 0.5000  4 O 2.20
Ti 0.2562 0.7438 0.6042  3 O 2.09-2.14
Ti 0.2562 0.7438 0.8958  3 O 2.09-2.14
Ti 0.4169 0.5831 0.2500  2 O 2.05
Ti 0.5831 0.4169 0.7500  2 O 2.05
Ti 0.7438 0.2562 0.1042  3 O 2.09-2.14
Ti 0.7438 0.2562 0.3958  3 O 2.09-2.14
Ga 0.1116 0.8884 0.2500  8 Ti 2.58-2.87
Ga 0.8884 0.1116 0.7500  8 Ti 2.58-2.87
O 0.3710 0.6290 0.0602  6 Ti 2.05-2.20
O 0.3710 0.6290 0.4398  6 Ti 2.05-2.20
O 0.6290 0.3710 0.5602  6 Ti 2.05-2.20
O 0.6290 0.3710 0.9398  6 Ti 2.05-2.20

=====

# 7
Density functional theory data (GGA-PBE) for a relaxed structure of TiGa2O.

Output
E (eV/f.u.): -20.655
Volume (Å³ per cell): 115.3

Cell: 5.3903 5.3903 5.3903 Å, 103.08 103.08 123.19°
With the nearest neighbours (Å) after each atom.
Positions (direct):
Ti 0.0000 0.0000 0.0000  2 O 2.56, 8 Ga 2.75-2.85
Ti 0.7500 0.2500 0.5000  2 O 2.56, 8 Ga 2.75-2.85
Ga 0.1856 0.6250 0.0606  2 O 2.20
Ga 0.3750 0.4356 0.5606  2 O 2.20
Ga 0.5644 0.1250 0.9394  2 O 2.20
Ga 0.8750 0.8144 0.4394  2 O 2.20
O 0.2500 0.7500 0.5000  4 Ga 2.20
O 0.5000 0.5000 0.0000  4 Ga 2.20

=====

# 8
Density functional theory data (GGA-PBE) for a relaxed structure of Ti4Ga2O.

Output
E (eV/f.u.): -49.244
Energy above the lowest structure with this stoichiometry (meV per atom): 94
Volume (Å³ per cell): 108.3

Cell: 7.4838 7.4838 7.4838 Å, 149.41 149.41 43.81°
With the nearest neighbours (Å) after each atom.
Positions (direct):
Ti 0.0000 0.5000 0.5000  2 O 1.97
Ti 0.1614 0.1614 0.0000  1 O 2.24
Ti 0.5000 0.0000 0.5000  2 O 1.97
Ti 0.8386 0.8386 0.0000  1 O 2.24
Ga 0.3558 0.3558 0.0000  9 Ti 2.70-2.81
Ga 0.6442 0.6442 0.0000  9 Ti 2.70-2.81
O 0.0000 0.0000 0.0000  4 Ti 1.97

=====

| no. | DOS(E_F) (states/eV per cell) |
| --- | --- |
| 1 | 1.268 |
| 2 | 8.831 |
| 3 | 25.516 |
| 4 | 2.047 |
| 5 | 4.021 |
| 6 | 8.214 |
| 7 | 6.961 |
| 8 | 3.219 |